An optimized crystal structure of BaInAu2. Source: Alexandria, functional PBEsol.

Cell lengths 6.134, 6.134, 6.134 Å; angles 45.56, 45.56, 45.56 degrees
Atoms (fractional coordinates):
Ba1 0.000 0.000 0.000
In1 0.500 0.500 0.500
Au1 0.204 0.204 0.204
Au2 0.796 0.796 0.796

Calculated values
DOS(E_F)	0.532	states/eV per atom
total magnetization	0.00	μB/atom
E_form	-0.529	eV per atom